{"formula": "Sr2CuTe", "functional": "PBE-GGA", "state": "relaxed", "lattice": [[-5.582, -3.255, 0.967], [-2.221, -6.119, 0.553], [0.718, 0.165, 4.688]], "species": ["Cu", "Sr", "Sr", "Te"], "fractional_positions": [[0.277, 0.277, 0.125], [0.021, 0.021, 0.125], [0.742, 0.742, 0.625], [0.460, 0.460, 0.625]], "e_tot_ev_per_cell": -13.46, "density_g_cm3": 4.7, "dos_ef_per_ev_atom": 0.503, "e_form_raw_mev_per_atom": -715}